[1]
Here is a relaxed PrEuGaRh crystal from the Alexandria database. Energies are from PBE.

a b c (Å): 5.139 5.139 5.139
angles (deg): 60.00 60.00 60.00
Element x y z (fractional)
Pr 0.000 0.000 0.000
Eu 0.500 0.500 0.500
Ga 0.250 0.250 0.250
Rh 0.750 0.750 0.750

Calculated values
space group	F-43m (216)
raw total energy	-27.2	eV for the cell shown
magnetic moment	6.9	μB/f.u.



[2]
Here is a relaxed CuSeSN2 crystal from the Alexandria database. Energies are from PBE.

a b c (Å): 3.654 3.654 6.542
angles (deg): 90.00 90.00 90.00
Element x y z (fractional)
Cu 0.000 0.000 0.000
Se 0.500 0.500 0.500
S 0.000 0.000 0.500
N 0.000 0.500 0.000
N 0.500 0.000 0.000

Calculated values
space group	P4/mmm (123)
uncorrected formation energy	7.75	eV per formula unit
raw total energy	-20.6	eV for the cell shown
distance to the lowest polymorph of the same formula	226	meV per atom
magnetic moment	3.5	μB/f.u.



[3]
Here is a relaxed ReTc5 crystal from the Alexandria database. Energies are from PBE.

a b c (Å): 5.043 5.043 5.043
angles (deg): 60.00 60.00 60.00
Element x y z (fractional)
Re 0.000 0.000 0.000
Tc 0.126 0.625 0.625
Tc 0.250 0.250 0.250
Tc 0.625 0.126 0.625
Tc 0.625 0.625 0.126
Tc 0.625 0.625 0.625

Calculated values
space group	F-43m (216)
raw total energy	-62.7	eV for the cell shown
distance to the lowest polymorph of the same formula	258	meV per atom
magnetic moment	0.0	μB/f.u.



[4]
Here is a relaxed MnCuNi2 crystal from the Alexandria database. Energies are from PBE.

a b c (Å): 2.619 3.544 5.082
angles (deg): 90.00 90.00 90.00
Element x y z (fractional)
Mn 0.000 0.000 0.000
Cu 0.500 0.500 0.733
Ni 0.000 0.000 0.493
Ni 0.500 0.500 0.244

Calculated values
space group	Pmm2 (25)
raw total energy	-24.8	eV for the cell shown
magnetic moment	4.6	μB/f.u.



[5]
Here is a relaxed Mo4C crystal from the Alexandria database. Energies are from PBE.

a b c (Å): 5.184 5.184 5.184
angles (deg): 94.09 94.09 149.03
Element x y z (fractional)
Mo 0.062 0.742 0.804
Mo 0.258 0.062 0.320
Mo 0.742 0.938 0.680
Mo 0.938 0.258 0.196
C 0.500 0.500 0.000

Calculated values
space group	I4/m (87)
raw total energy	-50.6	eV for the cell shown
distance to the lowest polymorph of the same formula	248	meV per atom
magnetic moment	0.0	μB/f.u.



[6]
Here is a relaxed SrTl2SnSb2 crystal from the Alexandria database. Energies are from PBE.

a b c (Å): 4.869 10.719 7.682
angles (deg): 90.00 90.00 90.00
Element x y z (fractional)
Sr 0.000 0.096 0.000
Sr 0.000 0.904 0.500
Tl 0.000 0.319 0.343
Tl 0.000 0.681 0.843
Tl 0.500 0.448 0.060
Tl 0.500 0.552 0.560
Sn 0.500 0.196 0.668
Sn 0.500 0.804 0.168
Sb 0.000 0.362 0.750
Sb 0.000 0.638 0.250
Sb 0.500 0.088 0.307
Sb 0.500 0.912 0.807

Calculated values
space group	Pmc2_1 (26)
uncorrected formation energy	-1.87	eV per formula unit
raw total energy	-41.1	eV for the cell shown
magnetic moment	0.0	μB/f.u.



[7]
Here is a relaxed PmNbCo crystal from the Alexandria database. Energies are from PBE.

a b c (Å): 10.896 3.307 3.307
angles (deg): 88.09 90.00 90.00
Element x y z (fractional)
Pm 0.162 0.000 0.000
Pm 0.838 0.000 0.000
Nb 0.378 0.497 0.497
Nb 0.622 0.497 0.497
Co 0.000 0.497 0.497
Co 0.500 0.047 0.047

Calculated values
space group	Amm2 (38)
raw total energy	-42.5	eV for the cell shown
magnetic moment	0.8	μB/f.u.



[8]
Here is a relaxed ThIn5Tc crystal from the Alexandria database. Energies are from PBE.

a b c (Å): 4.768 4.768 7.592
angles (deg): 90.00 90.00 90.00
Element x y z (fractional)
Th 0.000 0.000 0.000
In 0.000 0.500 0.307
In 0.000 0.500 0.693
In 0.500 0.000 0.307
In 0.500 0.000 0.693
In 0.500 0.500 0.000
Tc 0.000 0.000 0.500

Calculated values
space group	P4/mmm (123)
raw total energy	-32.4	eV for the cell shown
magnetic moment	0.0	μB/f.u.



[9]
Here is a relaxed Pr5ThZn6 crystal from the Alexandria database. Energies are from PBE.

a b c (Å): 5.235 7.409 8.287
angles (deg): 90.00 108.27 90.00
Element x y z (fractional)
Pr 0.000 0.000 0.000
Pr 0.333 0.000 0.666
Pr 0.334 0.500 0.668
Pr 0.666 0.500 0.332
Pr 0.667 0.000 0.334
Th 0.000 0.500 0.000
Zn 0.165 0.252 0.330
Zn 0.165 0.748 0.330
Zn 0.500 0.252 0.000
Zn 0.500 0.748 0.000
Zn 0.835 0.252 0.670
Zn 0.835 0.748 0.670

Calculated values
space group	P2/m (10)
raw total energy	-42.3	eV for the cell shown
magnetic moment	0.0	μB/f.u.



[10]
Here is a relaxed CsKAuI crystal from the Alexandria database. Energies are from PBE.

a b c (Å): 6.195 6.195 6.195
angles (deg): 60.00 60.00 60.00
Element x y z (fractional)
Cs 0.000 0.000 0.000
K 0.500 0.500 0.500
Au 0.250 0.250 0.250
I 0.750 0.750 0.750

Calculated values
space group	F-43m (216)
uncorrected formation energy	-3.40	eV per formula unit
raw total energy	-10.2	eV for the cell shown
distance to the lowest polymorph of the same formula	23	meV per atom
magnetic moment	0.0	μB/f.u.



[11]
Here is a relaxed Y3TeHC crystal from the Alexandria database. Energies are from PBE.

a b c (Å): 8.158 3.807 8.379
angles (deg): 90.00 104.85 90.00
Element x y z (fractional)
Y 0.041 0.250 0.346
Y 0.281 0.250 0.954
Y 0.362 0.750 0.639
Y 0.638 0.250 0.361
Y 0.719 0.750 0.046
Y 0.959 0.750 0.654
Te 0.319 0.750 0.264
Te 0.681 0.250 0.736
H 0.421 0.750 0.915
H 0.579 0.250 0.085
C 0.167 0.250 0.655
C 0.833 0.750 0.345

Calculated values
space group	P2_1/m (11)
raw total energy	-79.6	eV for the cell shown
magnetic moment	0.0	μB/f.u.



[12]
Here is a relaxed PuMn2Pt crystal from the Alexandria database. Energies are from PBE.

a b c (Å): 4.131 4.131 3.848
angles (deg): 90.00 90.00 90.00
Element x y z (fractional)
Pu 0.000 0.000 0.000
Mn 0.000 0.500 0.500
Mn 0.500 0.000 0.500
Pt 0.500 0.500 0.000

Calculated values
space group	P4/mmm (123)
raw total energy	-39.9	eV for the cell shown
magnetic moment	1.6	μB/f.u.



> Which value of raw total energy does entry 3 give?

-62.7 eV for the cell shown



> What is the raw total energy in the eighth record?

-32.4 eV for the cell shown



> Among the records above, which one has the lowest raw total energy?

Y3TeHC